No. 1
Material: Li7Co
Method: DFT, PBEsol
State: optimized geometry

Output
ΔE_f, kJ/mol of atoms: 21.37
Crystal system: cubic
Magnetization, μB per cell: 0.64

Geometry as POSCAR:
```
Li7Co
1.0
5.613 0.000 0.000
2.806 4.861 0.000
2.806 1.620 4.583
Li Co
7 1
Direct
0.500 0.500 0.000
0.500 0.000 0.000
0.000 0.500 0.000
0.500 0.500 0.500
0.000 0.000 0.500
0.000 0.500 0.500
0.500 0.000 0.500
0.000 0.000 0.000
```

***

No. 2
Material: LiCo2
Method: DFT, PBEsol
State: optimized geometry

Output
ΔE_f, kJ/mol of atoms: 63.57
Crystal system: tetragonal
Magnetization, μB per cell: 6.51

Geometry as POSCAR:
```
LiCo2
1.0
3.071 0.000 0.000
0.000 3.071 0.000
-1.535 -1.535 7.757
Co Li
4 2
Direct
0.826 0.326 0.653
0.424 0.424 0.847
0.576 0.576 0.153
0.674 0.174 0.347
0.250 0.750 0.500
0.000 0.000 0.000
```

***

No. 3
Material: Li5Co24
Method: DFT, PBEsol
State: optimized geometry

Output
ΔE_f, kJ/mol of atoms: 9.16
Crystal system: cubic
Magnetization, μB per cell: 36.90

Geometry as POSCAR:
```
Li5Co24
1.0
-0.504 3.979 6.217
-5.862 -4.481 -0.542
6.192 -4.047 0.157
Co Li
24 5
Direct
0.319 0.718 0.319
0.186 0.809 0.809
0.681 0.399 0.000
0.814 0.623 0.623
0.377 0.191 0.000
0.601 0.282 0.601
0.282 0.601 0.601
0.809 0.186 0.809
0.681 0.000 0.399
0.000 0.377 0.191
0.601 0.601 0.282
0.718 0.319 0.319
0.399 0.681 0.000
0.000 0.191 0.377
0.399 0.000 0.681
0.809 0.809 0.186
0.191 0.377 0.000
0.623 0.623 0.814
0.000 0.681 0.399
0.319 0.319 0.718
0.377 0.000 0.191
0.000 0.399 0.681
0.191 0.000 0.377
0.623 0.814 0.623
0.641 0.000 0.000
0.000 0.000 0.641
0.359 0.359 0.359
0.000 0.641 0.000
0.000 0.000 0.000
```

***

V, respectively: 125.04 73.15 311.80 Å³ per cell.